Entry 1:
Below is crystalline AcDy4As5 at its relaxed geometry, with properties calculated at the PBE-GGA level.

## Properties
energy relative to the elements	-144	kJ/mol of atoms
crystal system	monoclinic
calculated volume	26.40	Å³ per atom
symmetry	C2/m

Cell and atoms, written as CIF:
```
data_AcDy4As5
_chemical_formula_sum 'Ac1 Dy4 As5'
_cell_length_a 4.2087
_cell_length_b 7.2847
_cell_length_c 9.4290
_cell_angle_alpha 75.14
_cell_angle_beta 77.10
_cell_angle_gamma 73.21
_symmetry_space_group_name_H-M 'P 1'
_symmetry_Int_Tables_number 1
_symmetry_space_group_name_Hall 'P 1'
loop_
_atom_site_label
_atom_site_type_symbol
_atom_site_fract_x
_atom_site_fract_y
_atom_site_fract_z
_atom_site_occupancy
Dy1 Dy 0.5972 0.2059 0.5998 1
Dy2 Dy 0.2007 0.3911 0.2076 1
Dy3 Dy 0.7993 0.6089 0.7924 1
Dy4 Dy 0.4028 0.7941 0.4002 1
As1 As 0.7950 0.0971 0.3128 1
As2 As 0.6088 0.6747 0.1077 1
As3 As 0.0000 0.5000 0.5000 1
As4 As 0.2050 0.9029 0.6872 1
As5 As 0.3912 0.3253 0.8923 1
Ac1 Ac 0.0000 0.0000 0.0000 1
```



Entry 2:
Below is crystalline AcDyAs2 at its relaxed geometry, with properties calculated at the PBE-GGA level.

## Properties
distance to the lowest polymorph of the same formula	164.8	meV/atom
energy relative to the elements	-126	kJ/mol of atoms
crystal system	trigonal
calculated volume	29.40	Å³ per atom
symmetry	R3m

Cell and atoms, written as CIF:
```
data_AcDyAs2
_chemical_formula_sum 'Ac1 Dy1 As2'
_cell_length_a 4.2801
_cell_length_b 4.2801
_cell_length_c 7.8143
_cell_angle_alpha 74.11
_cell_angle_beta 74.11
_cell_angle_gamma 60.00
_symmetry_space_group_name_H-M 'P 1'
_symmetry_Int_Tables_number 1
_symmetry_space_group_name_Hall 'P 1'
loop_
_atom_site_label
_atom_site_type_symbol
_atom_site_fract_x
_atom_site_fract_y
_atom_site_fract_z
_atom_site_occupancy
Ac1 Ac 0.6694 0.6694 0.9919 1
Dy1 Dy 0.4984 0.4984 0.5048 1
As1 As 0.2432 0.2432 0.2703 1
As2 As 0.0890 0.0890 0.7330 1
```



Entry 3:
Below is crystalline AcDy2As at its relaxed geometry, with properties calculated at the PBE-GGA level.

## Properties
energy relative to the elements	-46	kJ/mol of atoms
crystal system	trigonal
calculated volume	34.90	Å³ per atom
symmetry	R-3m

Cell and atoms, written as CIF:
```
data_AcDy2As
_chemical_formula_sum 'Ac1 Dy2 As1'
_cell_length_a 3.8673
_cell_length_b 3.8673
_cell_length_c 11.0054
_cell_angle_alpha 79.88
_cell_angle_beta 79.88
_cell_angle_gamma 60.00
_symmetry_space_group_name_H-M 'P 1'
_symmetry_Int_Tables_number 1
_symmetry_space_group_name_Hall 'P 1'
loop_
_atom_site_label
_atom_site_type_symbol
_atom_site_fract_x
_atom_site_fract_y
_atom_site_fract_z
_atom_site_occupancy
Ac1 Ac 0.0000 0.0000 0.0000 1
Dy1 Dy 0.8857 0.8857 0.3428 1
Dy2 Dy 0.1143 0.1143 0.6572 1
As1 As 0.5000 0.5000 0.5000 1
```



Entry 4:
Below is crystalline AcDyAs2 at its relaxed geometry, with properties calculated at the PBE-GGA level.

## Properties
distance to the lowest polymorph of the same formula	415.1	meV/atom
energy relative to the elements	-102	kJ/mol of atoms
crystal system	cubic
calculated volume	25.95	Å³ per atom
symmetry	Fm-3m

Cell and atoms, written as CIF:
```
data_AcDyAs2
_chemical_formula_sum 'Ac1 Dy1 As2'
_cell_length_a 5.2750
_cell_length_b 5.2750
_cell_length_c 5.2750
_cell_angle_alpha 60.00
_cell_angle_beta 60.00
_cell_angle_gamma 60.00
_symmetry_space_group_name_H-M 'P 1'
_symmetry_Int_Tables_number 1
_symmetry_space_group_name_Hall 'P 1'
loop_
_atom_site_label
_atom_site_type_symbol
_atom_site_fract_x
_atom_site_fract_y
_atom_site_fract_z
_atom_site_occupancy
Dy1 Dy 0.0000 0.0000 0.0000 1
As1 As 0.7500 0.7500 0.7500 1
As2 As 0.2500 0.2500 0.2500 1
Ac1 Ac 0.5000 0.5000 0.5000 1
```



Entry 5:
Below is crystalline AcDyAs2 at its relaxed geometry, with properties calculated at the PBE-GGA level.

## Properties
distance to the lowest polymorph of the same formula	0.0	meV/atom
energy relative to the elements	-142	kJ/mol of atoms
crystal system	trigonal
calculated volume	28.84	Å³ per atom
symmetry	R-3m

Cell and atoms, written as CIF:
```
data_AcDyAs2
_chemical_formula_sum 'Ac1 Dy1 As2'
_cell_length_a 4.3363
_cell_length_b 4.3363
_cell_length_c 7.5121
_cell_angle_alpha 73.23
_cell_angle_beta 73.23
_cell_angle_gamma 60.01
_symmetry_space_group_name_H-M 'P 1'
_symmetry_Int_Tables_number 1
_symmetry_space_group_name_Hall 'P 1'
loop_
_atom_site_label
_atom_site_type_symbol
_atom_site_fract_x
_atom_site_fract_y
_atom_site_fract_z
_atom_site_occupancy
As1 As 0.2578 0.2578 0.2269 1
As2 As 0.7422 0.7422 0.7731 1
Dy1 Dy 0.0000 0.0000 0.0000 1
Ac1 Ac 0.5000 0.5000 0.5000 1
```



Entry 6:
Below is crystalline AcDyAs2 at its relaxed geometry, with properties calculated at the PBE-GGA level.

## Properties
distance to the lowest polymorph of the same formula	958.3	meV/atom
energy relative to the elements	-50	kJ/mol of atoms
crystal system	trigonal
calculated volume	35.33	Å³ per atom
symmetry	R-3m

Cell and atoms, written as CIF:
```
data_AcDyAs2
_chemical_formula_sum 'Ac1 Dy1 As2'
_cell_length_a 4.2935
_cell_length_b 4.2935
_cell_length_c 9.1933
_cell_angle_alpha 76.50
_cell_angle_beta 76.50
_cell_angle_gamma 60.00
_symmetry_space_group_name_H-M 'P 1'
_symmetry_Int_Tables_number 1
_symmetry_space_group_name_Hall 'P 1'
loop_
_atom_site_label
_atom_site_type_symbol
_atom_site_fract_x
_atom_site_fract_y
_atom_site_fract_z
_atom_site_occupancy
As1 As 0.1113 0.1113 0.6661 1
As2 As 0.8887 0.8887 0.3339 1
Ac1 Ac 0.0000 0.0000 0.0000 1
Dy1 Dy 0.5000 0.5000 0.5000 1
```